No. 1
Entry from Alexandria: an optimized crystal structure of TeAsWSe2 (GGA-PBEsol).

Geometry as POSCAR:
```
TeAsWSe2
1.0
-4.157 -0.272 -2.356
-2.142 -1.614 3.965
-1.079 4.761 1.355
As Te Se W
1 1 2 1
Direct
0.000 0.000 0.500
0.500 0.500 0.500
0.000 0.500 0.000
0.500 0.000 0.000
0.000 0.000 0.000
```

Summary:
The value obtained for the volume is 23.215 Å³/atom. As for the energy relative to the elements, uncorrected: 36.89 kJ/mol of atoms. The spin magnetization is 0.00 Bohr magnetons per cell. The uncorrected energy is -5.646 eV per atom.

=====

No. 2
Entry from Alexandria: an optimized crystal structure of Ru2W (GGA-PBEsol).

Geometry as POSCAR:
```
Ru2W
1.0
-2.446 -3.109 1.329
2.570 -0.059 4.593
-5.064 5.225 2.901
Ru W
8 4
Direct
0.750 0.951 0.782
0.750 0.833 0.437
0.250 0.667 0.937
0.250 0.549 0.282
0.750 0.451 0.718
0.750 0.333 0.063
0.250 0.167 0.563
0.250 0.049 0.218
0.750 0.813 0.106
0.250 0.687 0.606
0.750 0.313 0.394
0.250 0.187 0.894
```

Summary:
The value obtained for the volume is 14.340 Å³/atom. The spin magnetization is 0.00 Bohr magnetons per cell. The value obtained for the energy of formation is 0.037 eV per atom. The uncorrected energy is -11.347 eV per atom.

=====

No. 3
Entry from Alexandria: an optimized crystal structure of BaAl2Ag (GGA-PBEsol).

Geometry as POSCAR:
```
BaAl2Ag
1.0
4.901 0.000 0.000
2.450 4.502 0.068
2.450 1.227 4.332
Ba Ag Al
1 1 2
Direct
0.502 0.498 0.498
0.717 0.783 0.783
0.006 0.994 0.994
0.276 0.224 0.224
```

Summary:
The value obtained for the volume is 23.792 Å³/atom. The spin magnetization is 0.00 Bohr magnetons per cell. The value obtained for the energy of formation is 0.036 eV per atom. The uncorrected energy is -3.374 eV per atom.

=====

No. 4
Entry from Alexandria: an optimized crystal structure of KMnCr (GGA-PBEsol).

Geometry as POSCAR:
```
KMnCr
1.0
-1.526 1.796 -1.788
-0.874 -2.800 0.380
-4.237 2.101 5.728
Cr K Mn
1 1 1
Direct
0.000 0.000 0.079
0.333 0.667 0.662
0.667 0.333 0.259
```

Summary:
The value obtained for the volume is 18.761 Å³/atom. The spin magnetization is 0.42 Bohr magnetons per cell. The value obtained for the energy of formation is 1.129 eV per atom. The uncorrected energy is -5.916 eV per atom.